Entry 1:
Entry from Alexandria via LeMat-Bulk: a geometry-optimized SiHg2F6 structure (PBE).

Calculated values
* M_tot: 0.00 μB per cell
* raw total energy: -4.171 eV per atom

Cell: 5.8152 5.8152 18.8173 Å, 90.00 90.00 120.00°
Space group R3 (No. 146, hexagonal axes)
Inequivalent atoms, fractional coordinates:
Si (0.0000, 0.0000, 0.0000)
Hg (0.0000, 0.0000, 0.1727)
Hg (0.0000, 0.0000, 0.3105)
F (0.0557, 0.5270, 0.7257)
F (0.1918, 0.8064, 0.6193)

Entry 2:
Entry from Alexandria via LeMat-Bulk: a geometry-optimized Si2HgF2 structure (PBE).

Calculated values
* M_tot: 0.00 μB per cell
* excess energy over the best structure of this formula in the dataset: 122 meV per atom
* raw total energy: -3.528 eV per atom

Cell: 3.364 3.364 16.994 Å, 90.00 90.00 90.00°
Space group I4/mmm (No. 139)
Inequivalent atoms, fractional coordinates:
Si (0.000, 0.500, 0.250)
Hg (0.000, 0.000, 0.000)
F (0.000, 0.000, 0.356)

Entry 3:
Entry from Alexandria via LeMat-Bulk: a geometry-optimized SiHgF2 structure (PBE).

Calculated values
* M_tot: 0.00 μB per cell
* excess energy over the best structure of this formula in the dataset: 299 meV per atom
* raw total energy: -3.528 eV per atom

Cell: 3.5083 3.5083 26.4829 Å, 90.00 90.00 120.00°
Space group R-3m (No. 166, hexagonal axes)
Inequivalent atoms, fractional coordinates:
Si (0.0000, 0.0000, 0.0000)
Hg (0.0000, 0.0000, 0.5000)
F (0.0000, 0.0000, 0.3687)

Entry 4:
Entry from Alexandria via LeMat-Bulk: a geometry-optimized Si2HgF2 structure (PBE).

Calculated values
* M_tot: 0.00 μB per cell
* excess energy over the best structure of this formula in the dataset: 0 meV per atom
* raw total energy: -3.649 eV per atom

Cell: 8.361 8.361 2.598 Å, 90.00 90.00 90.00°
Space group P4/mbm (No. 127)
Inequivalent atoms, fractional coordinates:
Si (0.243, 0.257, 0.000)
Hg (0.000, 0.000, 0.500)
F (0.118, 0.382, 0.500)

Entry 5:
Entry from Alexandria via LeMat-Bulk: a geometry-optimized SiHg3F structure (PBE).

Calculated values
* M_tot: 0.00 μB per cell
* excess energy over the best structure of this formula in the dataset: 451 meV per atom
* raw total energy: -1.397 eV per atom

Cell: 4.963 4.963 4.963 Å, 90.00 90.00 90.00°
Space group Pm-3m (No. 221)
Inequivalent atoms, fractional coordinates:
Si (0.000, 0.000, 0.000)
Hg (0.000, 0.500, 0.500)
F (0.500, 0.500, 0.500)

Entry 6:
Entry from Alexandria via LeMat-Bulk: a geometry-optimized SiHg3F structure (PBE).

Calculated values
* M_tot: 0.00 μB per cell
* excess energy over the best structure of this formula in the dataset: 0 meV per atom
* raw total energy: -1.847 eV per atom

Cell: 5.115 5.115 5.115 Å, 90.00 90.00 90.00°
Space group Pm-3m (No. 221)
Inequivalent atoms, fractional coordinates:
Si (0.000, 0.000, 0.000)
Hg (0.000, 0.000, 0.500)
F (0.500, 0.500, 0.500)

Entry 7:
Entry from Alexandria via LeMat-Bulk: a geometry-optimized SiHgF2 structure (PBE).

Calculated values
* M_tot: 0.00 μB per cell
* excess energy over the best structure of this formula in the dataset: 0 meV per atom
* raw total energy: -3.827 eV per atom

Cell: 2.8826 2.8826 26.3763 Å, 90.00 90.00 120.00°
Space group R-3m (No. 166, hexagonal axes)
Inequivalent atoms, fractional coordinates:
Si (0.0000, 0.0000, 0.0000)
Hg (0.0000, 0.0000, 0.5000)
F (0.0000, 0.0000, 0.0635)

Entry 8:
Entry from Alexandria via LeMat-Bulk: a geometry-optimized TlSiHg2F8 structure (PBE).

Calculated values
* M_tot: 0.00 μB per cell
* raw total energy: -4.033 eV per atom

Cell: 5.363 5.463 6.875 Å, 90.81 91.22 94.36°
Space group P-1 (No. 2)
Inequivalent atoms, fractional coordinates:
Tl (0.000, 0.000, 0.000)
Si (0.000, 0.000, 0.500)
Hg (0.494, 0.505, 0.712)
F (0.069, 0.253, 0.650)
F (0.181, 0.829, 0.645)
F (0.255, 0.083, 0.362)
F (0.370, 0.690, 0.030)

Entry 9:
Entry from Alexandria via LeMat-Bulk: a geometry-optimized YSi2HgF structure (PBE).

Calculated values
* M_tot: 0.00 μB per cell
* raw total energy: -4.233 eV per atom

Cell: 4.788 4.788 4.445 Å, 90.00 90.00 90.00°
Space group P4/mmm (No. 123)
Inequivalent atoms, fractional coordinates:
Y (0.000, 0.000, 0.000)
Si (0.000, 0.500, 0.500)
Hg (0.500, 0.500, 0.000)
F (0.000, 0.000, 0.500)

Entry 10:
Entry from Alexandria via LeMat-Bulk: a geometry-optimized YSiHg2F structure (PBE).

Calculated values
* M_tot: 0.00 μB per cell
* raw total energy: -3.442 eV per atom

Cell: 5.097 5.097 4.427 Å, 90.00 90.00 90.00°
Space group P4/mmm (No. 123)
Inequivalent atoms, fractional coordinates:
Y (0.000, 0.000, 0.000)
Si (0.500, 0.500, 0.000)
Hg (0.000, 0.500, 0.500)
F (0.000, 0.000, 0.500)

Entry 11:
Entry from Alexandria via LeMat-Bulk: a geometry-optimized Sm4Hg2F structure (PBE).

Calculated values
* M_tot: 0.00 μB per cell
* raw total energy: -3.942 eV per atom

Cell: 4.825 4.825 16.311 Å, 90.00 90.00 90.00°
Space group I4/mmm (No. 139)
Inequivalent atoms, fractional coordinates:
Sm (0.000, 0.000, 0.187)
Sm (0.000, 0.500, 0.000)
Hg (0.000, 0.000, 0.370)
F (0.000, 0.000, 0.000)

Entry 12:
Entry from Alexandria via LeMat-Bulk: a geometry-optimized Sm2HgF structure (PBE).

Calculated values
* M_tot: 0.00 μB per cell
* excess energy over the best structure of this formula in the dataset: 0 meV per atom
* raw total energy: -4.215 eV per atom

Cell: 3.8576 3.8576 21.9817 Å, 90.00 90.00 120.00°
Space group R-3m (No. 166, hexagonal axes)
Inequivalent atoms, fractional coordinates:
Sm (0.0000, 0.0000, 0.2301)
Hg (0.0000, 0.0000, 0.0000)
F (0.0000, 0.0000, 0.5000)

Calculated energy relative to the elements, uncorrected (eV per atom), listed in the same order as above: -2.254, -0.549, -1.161, -0.671, 0.243, -0.207, -1.460, -2.086, -0.336, -0.569, -0.891, -1.312